*i*
Computed, not measured: a crystal of Tl3Rh relaxed with PBEsol at the meta-GGA SCAN level of DFT.

Calculated values
* crystal system: cubic
* M_tot: 0.00 μB per formula unit
* volume: 35.4 Å³/atom
* density of states at the Fermi level: 1.43 states/eV/cell

The structure in POSCAR format:
```
Tl3Rh
1.0
5.210 0.000 0.000
0.000 5.210 0.000
0.000 0.000 5.210
Tl Rh
3 1
direct
0.000 0.000 0.500
0.000 0.500 0.000
0.500 0.000 0.000
0.000 0.000 0.000
```

=====

*ii*
Computed, not measured: a crystal of Tl3Rh relaxed with PBEsol at the meta-GGA SCAN level of DFT.

Calculated values
* crystal system: orthorhombic
* M_tot: 0.00 μB per formula unit
* volume: 23.0 Å³/atom
* density of states at the Fermi level: 1.92 states/eV/cell

The structure in POSCAR format:
```
Tl3Rh
1.0
-1.845 4.091 3.048
1.845 -4.091 3.048
1.845 4.091 -3.048
Tl Rh
3 1
direct
0.000 0.000 0.000
0.244 0.438 0.806
0.631 0.438 0.194
0.670 0.170 0.500
```

=====

*iii*
Computed, not measured: a crystal of Tl3Rh relaxed with PBEsol at the meta-GGA SCAN level of DFT.

Calculated values
* crystal system: orthorhombic
* M_tot: 0.00 μB per formula unit
* volume: 22.5 Å³/atom
* density of states at the Fermi level: 7.66 states/eV/cell

The structure in POSCAR format:
```
Tl3Rh
1.0
7.410 0.000 0.000
0.000 8.311 0.000
0.000 0.000 5.836
Tl Rh
12 4
direct
0.022 0.250 0.116
0.179 0.059 0.636
0.179 0.441 0.636
0.321 0.559 0.136
0.321 0.941 0.136
0.478 0.750 0.616
0.522 0.250 0.384
0.679 0.059 0.864
0.679 0.441 0.864
0.821 0.559 0.364
0.821 0.941 0.364
0.978 0.750 0.884
0.133 0.750 0.451
0.367 0.250 0.951
0.633 0.750 0.049
0.867 0.250 0.549
```

=====

*iv*
Computed, not measured: a crystal of Tl3Rh relaxed with PBEsol at the meta-GGA SCAN level of DFT.

Calculated values
* crystal system: orthorhombic
* M_tot: 0.00 μB per formula unit
* volume: 24.7 Å³/atom
* density of states at the Fermi level: 2.43 states/eV/cell

The structure in POSCAR format:
```
Tl3Rh
1.0
3.215 0.000 0.000
0.000 4.342 0.000
0.000 0.000 7.078
Tl Rh
3 1
direct
0.000 0.000 0.000
0.000 0.500 0.344
0.500 0.500 0.734
0.500 0.000 0.332
```

=====

Which structure is the most stable? The one labeled *i*.

=====

*i*
Computed, not measured: a crystal of Tl2Rh3 relaxed with PBEsol at the meta-GGA SCAN level of DFT.

Calculated values
* crystal system: trigonal
* M_tot: 1.53 μB per formula unit
* volume: 16.6 Å³/atom
* density of states at the Fermi level: 6.04 states/eV/cell

The structure in POSCAR format:
```
Tl2Rh3
1.0
2.245 1.296 4.760
-2.245 1.296 4.760
0.000 -2.593 4.760
Tl Rh
2 3
direct
0.100 0.100 0.100
0.900 0.900 0.900
0.298 0.298 0.298
0.500 0.500 0.500
0.702 0.702 0.702
```

=====

*ii*
Computed, not measured: a crystal of Tl2Rh3 relaxed with PBEsol at the meta-GGA SCAN level of DFT.

Calculated values
* crystal system: orthorhombic
* M_tot: 0.00 μB per formula unit
* volume: 16.4 Å³/atom
* density of states at the Fermi level: 5.08 states/eV/cell

The structure in POSCAR format:
```
Tl2Rh3
1.0
-1.511 1.821 7.471
1.511 -1.821 7.471
1.511 1.821 -7.471
Tl Rh
2 3
direct
0.105 0.105 0.000
0.895 0.895 0.000
0.299 0.299 0.000
0.500 0.500 0.000
0.701 0.701 0.000
```

=====

Which structure is the most stable? The one labeled *ii*.